Entry 1:
KCrNO2: relaxed, PBE with a Hubbard U.

Cell lengths 3.873, 3.873, 3.742 Å; angles 90.00, 90.00, 90.00 degrees
Atoms (fractional coordinates):
Cr (0.000, 0.000, 0.000)
K (0.500, 0.500, 0.500)
O (0.000, 0.500, 0.000)
O (0.500, 0.000, 0.000)
N (0.000, 0.000, 0.500)

Summary:
* raw total energy: -28.97 eV/cell
* V: 11.22 Å³ per atom
* DOS at the Fermi energy: 2.64 states/eV per cell

Entry 2:
KCrNO2: relaxed, PBE with a Hubbard U.

Cell lengths 4.534, 4.534, 4.627 Å; angles 90.00, 90.00, 90.00 degrees
Atoms (fractional coordinates):
Cr (0.500, 0.500, 0.500)
K (0.000, 0.000, 0.000)
O (0.000, 0.500, 0.000)
O (0.500, 0.000, 0.000)
N (0.000, 0.000, 0.500)

Summary:
* raw total energy: -18.97 eV/cell
* V: 19.02 Å³ per atom
* DOS at the Fermi energy: 6.49 states/eV per cell